Below is SnBi3Sb4 after structural relaxation, with properties calculated at the PBE level.

## Properties
As for the space group: Cm. For the calculated total energy, the calculation gives -32.04 eV/f.u. Its uncorrected formation energy is 11 meV/atom. The volume is 33.3 A^3/atom. Its density of states at the Fermi level is 2.939 states/eV/f.u.

Unit cell a=7.8857 b=7.8857 c=4.4502 alpha=90.08 beta=90.08 gamma=105.50
With the nearest neighbours (Å) after each atom.
Positions (direct):
Sn1 0.0000 0.0000 0.0000  4 Sb 2.95-3.10
Bi1 0.4978 0.9960 0.5001  4 Sb 3.01-3.17
Bi2 0.5016 0.5016 0.9996  4 Sb 3.03-3.21
Bi3 0.9960 0.4978 0.5001  4 Sb 3.01-3.17
Sb1 0.2802 0.7892 0.9990  3 Bi 3.01-3.21, 1 Sn 3.10
Sb2 0.2857 0.2857 0.4976  4 Bi 3.03-3.17
Sb3 0.7892 0.2802 0.9990  3 Bi 3.01-3.21, 1 Sn 3.10
Sb4 0.7968 0.7968 0.4982  2 Sn 2.95, 2 Bi 3.16